## MgAlCl2 (PBE-GGA)

Data for an optimized crystal structure of MgAlCl2.

Geometry as POSCAR:
```
MgAlCl2
1.0
5.313 0.000 0.000
0.000 3.518 0.000
-2.642 0.000 5.767
Mg Al Cl
1 1 2
Direct
0.000 0.000 0.000
0.354 0.500 0.913
0.524 0.000 0.687
0.825 0.500 0.201
```

Output
For the excess energy over the best structure of this formula in the dataset, the calculation gives 150 meV per atom. The value obtained for the density of states at the Fermi level is 1.0 states/eV per cell. For the total moment, the calculation gives 0.00 μB per formula unit. The uncorrected formation energy comes out at -0.820 eV per atom.



## MgAl4Cl (PBE-GGA)

Data for an optimized crystal structure of MgAl4Cl.

Geometry as POSCAR:
```
MgAl4Cl
1.0
0.000 3.921 3.921
3.921 0.000 3.921
3.921 3.921 0.000
Mg Al Cl
1 4 1
Direct
0.000 0.000 0.000
0.124 0.625 0.625
0.625 0.124 0.625
0.625 0.625 0.124
0.625 0.625 0.625
0.250 0.250 0.250
```

Output
The value obtained for the density of states at the Fermi level is 3.7 states/eV per cell. For the total moment, the calculation gives 0.00 μB per formula unit. The uncorrected formation energy comes out at 0.067 eV per atom.



## MgAlCl2 (PBE-GGA)

Data for an optimized crystal structure of MgAlCl2.

Geometry as POSCAR:
```
MgAlCl2
1.0
3.329 0.000 0.000
0.000 4.312 0.000
0.000 0.000 6.115
Mg Al Cl
1 1 2
Direct
0.000 0.000 0.000
0.500 0.000 0.500
0.000 0.500 0.500
0.500 0.500 0.000
```

Output
For the excess energy over the best structure of this formula in the dataset, the calculation gives 432 meV per atom. The value obtained for the density of states at the Fermi level is 1.7 states/eV per cell. For the total moment, the calculation gives 0.00 μB per formula unit. The uncorrected formation energy comes out at -0.538 eV per atom.



## MgAlCl3 (PBE-GGA)

Data for an optimized crystal structure of MgAlCl3.

Geometry as POSCAR:
```
MgAlCl3
1.0
4.944 0.000 0.000
0.000 4.944 0.000
0.000 0.000 4.944
Mg Al Cl
1 1 3
Direct
0.000 0.000 0.000
0.500 0.500 0.500
0.000 0.500 0.500
0.500 0.000 0.500
0.500 0.500 0.000
```

Output
For the excess energy over the best structure of this formula in the dataset, the calculation gives 395 meV per atom. The value obtained for the density of states at the Fermi level is 1.8 states/eV per cell. For the total moment, the calculation gives 0.60 μB per formula unit. The uncorrected formation energy comes out at -0.748 eV per atom.



## MgAlCl2 (PBE-GGA)

Data for an optimized crystal structure of MgAlCl2.

Geometry as POSCAR:
```
MgAlCl2
1.0
1.746 1.008 12.328
-1.746 1.008 12.328
0.000 -2.016 12.328
Mg Al Cl
1 1 2
Direct
0.000 0.000 0.000
0.500 0.500 0.500
0.294 0.294 0.294
0.706 0.706 0.706
```

Output
For the excess energy over the best structure of this formula in the dataset, the calculation gives 21 meV per atom. The value obtained for the density of states at the Fermi level is 1.4 states/eV per cell. For the total moment, the calculation gives 0.46 μB per formula unit. The uncorrected formation energy comes out at -0.950 eV per atom.



## MgAlCl2 (PBE-GGA)

Data for an optimized crystal structure of MgAlCl2.

Geometry as POSCAR:
```
MgAlCl2
1.0
-1.696 3.710 4.770
1.696 -3.710 4.770
1.696 3.710 -4.770
Mg Al Cl
1 1 2
Direct
0.000 0.000 0.000
0.236 0.736 0.500
0.423 0.423 0.000
0.824 0.324 0.500
```

Output
For the excess energy over the best structure of this formula in the dataset, the calculation gives 282 meV per atom. The value obtained for the density of states at the Fermi level is 2.3 states/eV per cell. For the total moment, the calculation gives 0.00 μB per formula unit. The uncorrected formation energy comes out at -0.688 eV per atom.



## MgAl2Cl8 (PBE-GGA)

Data for an optimized crystal structure of MgAl2Cl8.

Geometry as POSCAR:
```
MgAl2Cl8
1.0
6.310 -4.671 0.000
6.310 4.671 0.000
-0.498 0.000 6.023
Mg Al Cl
1 2 8
Direct
0.000 0.000 0.000
0.185 0.185 0.647
0.815 0.815 0.353
0.083 0.726 0.222
0.167 0.167 0.285
0.274 0.917 0.778
0.347 0.347 0.752
0.653 0.653 0.248
0.726 0.083 0.222
0.833 0.833 0.715
0.917 0.274 0.778
```

Output
For the excess energy over the best structure of this formula in the dataset, the calculation gives 6 meV per atom. The value obtained for the density of states at the Fermi level is 0.0 states/eV per cell. For the total moment, the calculation gives 0.18 μB per formula unit. The uncorrected formation energy comes out at -1.613 eV per atom.



## MgAl2Cl (PBE-GGA)

Data for an optimized crystal structure of MgAl2Cl.

Geometry as POSCAR:
```
MgAl2Cl
1.0
-1.489 2.184 6.649
1.489 -2.184 6.649
1.489 2.184 -6.649
Mg Al Cl
1 2 1
Direct
0.000 0.000 0.000
0.210 0.710 0.500
0.790 0.290 0.500
0.500 0.500 0.000
```

Output
For the excess energy over the best structure of this formula in the dataset, the calculation gives 141 meV per atom. The value obtained for the density of states at the Fermi level is 1.7 states/eV per cell. For the total moment, the calculation gives 0.00 μB per formula unit. The uncorrected formation energy comes out at -0.171 eV per atom.



## MgAl2Cl (PBE-GGA)

Data for an optimized crystal structure of MgAl2Cl.

Geometry as POSCAR:
```
MgAl2Cl
1.0
0.000 3.527 3.527
3.527 0.000 3.527
3.527 3.527 0.000
Mg Al Cl
1 2 1
Direct
0.000 0.000 0.000
0.250 0.250 0.250
0.750 0.750 0.750
0.500 0.500 0.500
```

Output
For the excess energy over the best structure of this formula in the dataset, the calculation gives 542 meV per atom. The value obtained for the density of states at the Fermi level is 4.4 states/eV per cell. For the total moment, the calculation gives 0.00 μB per formula unit. The uncorrected formation energy comes out at 0.230 eV per atom.



## MgAlCl2 (PBE-GGA)

Data for an optimized crystal structure of MgAlCl2.

Geometry as POSCAR:
```
MgAlCl2
1.0
1.739 1.004 11.318
-1.739 1.004 11.318
0.000 -2.008 11.318
Mg Al Cl
1 1 2
Direct
0.000 0.000 0.000
0.500 0.500 0.500
0.376 0.376 0.376
0.624 0.624 0.624
```

Output
For the excess energy over the best structure of this formula in the dataset, the calculation gives 0 meV per atom. The value obtained for the density of states at the Fermi level is 1.0 states/eV per cell. For the total moment, the calculation gives 0.00 μB per formula unit. The uncorrected formation energy comes out at -0.971 eV per atom.



## MgAlCl2 (PBE-GGA)

Data for an optimized crystal structure of MgAlCl2.

Geometry as POSCAR:
```
MgAlCl2
1.0
5.587 -1.692 0.000
5.587 1.692 0.000
-2.195 0.000 5.538
Mg Al Cl
1 1 2
Direct
0.000 0.000 0.000
0.500 0.500 0.500
0.339 0.339 0.806
0.661 0.661 0.194
```

Output
For the excess energy over the best structure of this formula in the dataset, the calculation gives 224 meV per atom. The value obtained for the density of states at the Fermi level is 2.5 states/eV per cell. For the total moment, the calculation gives 0.00 μB per formula unit. The uncorrected formation energy comes out at -0.746 eV per atom.



## MgAl2Cl (PBE-GGA)

Data for an optimized crystal structure of MgAl2Cl.

Geometry as POSCAR:
```
MgAl2Cl
1.0
3.101 0.000 0.000
0.000 4.964 0.000
-0.009 0.000 5.280
Mg Al Cl
1 2 1
Direct
0.000 0.000 0.000
0.494 0.000 0.506
0.992 0.500 0.482
0.982 0.500 0.010
```

Output
For the excess energy over the best structure of this formula in the dataset, the calculation gives 36 meV per atom. The value obtained for the density of states at the Fermi level is 1.6 states/eV per cell. For the total moment, the calculation gives 0.00 μB per formula unit. The uncorrected formation energy comes out at -0.276 eV per atom.



## MgAlCl2 (PBE-GGA)

Data for an optimized crystal structure of MgAlCl2.

Geometry as POSCAR:
```
MgAlCl2
1.0
3.209 0.000 0.000
0.000 3.209 0.000
0.000 0.000 8.751
Mg Al Cl
1 1 2
Direct
0.000 0.000 0.000
0.500 0.500 0.241
0.000 0.000 0.421
0.500 0.500 0.845
```

Output
For the excess energy over the best structure of this formula in the dataset, the calculation gives 211 meV per atom. The value obtained for the density of states at the Fermi level is 1.6 states/eV per cell. For the total moment, the calculation gives 0.00 μB per formula unit. The uncorrected formation energy comes out at -0.760 eV per atom.



## MgAlCl2 (PBE-GGA)

Data for an optimized crystal structure of MgAlCl2.

Geometry as POSCAR:
```
MgAlCl2
1.0
5.300 0.000 0.000
0.000 5.300 0.000
0.000 0.000 3.283
Mg Al Cl
1 1 2
Direct
0.000 0.000 0.000
0.500 0.500 0.000
0.000 0.500 0.500
0.500 0.000 0.500
```

Output
For the excess energy over the best structure of this formula in the dataset, the calculation gives 565 meV per atom. The value obtained for the density of states at the Fermi level is 1.5 states/eV per cell. For the total moment, the calculation gives 0.00 μB per formula unit. The uncorrected formation energy comes out at -0.406 eV per atom.



## MgAlCl2 (PBE-GGA)

Data for an optimized crystal structure of MgAlCl2.

Geometry as POSCAR:
```
MgAlCl2
1.0
6.024 0.000 0.000
0.000 3.307 0.000
-1.767 0.000 5.772
Mg Al Cl
1 1 2
Direct
0.000 0.000 0.000
0.500 0.000 0.500
0.177 0.500 0.821
0.823 0.500 0.179
```

Output
For the excess energy over the best structure of this formula in the dataset, the calculation gives 260 meV per atom. The value obtained for the density of states at the Fermi level is 1.2 states/eV per cell. For the total moment, the calculation gives 0.00 μB per formula unit. The uncorrected formation energy comes out at -0.711 eV per atom.



## Mg3AlCl (PBE-GGA)

Data for an optimized crystal structure of Mg3AlCl.

Geometry as POSCAR:
```
Mg3AlCl
1.0
4.948 0.000 0.000
0.000 4.948 0.000
0.000 0.000 4.948
Mg Al Cl
3 1 1
Direct
0.000 0.000 0.500
0.000 0.500 0.000
0.500 0.000 0.000
0.500 0.500 0.500
0.000 0.000 0.000
```

Output
For the excess energy over the best structure of this formula in the dataset, the calculation gives 244 meV per atom. The value obtained for the density of states at the Fermi level is 3.1 states/eV per cell. For the total moment, the calculation gives 0.00 μB per formula unit. The uncorrected formation energy comes out at 0.170 eV per atom.



## MgAl2Cl (PBE-GGA)

Data for an optimized crystal structure of MgAl2Cl.

Geometry as POSCAR:
```
MgAl2Cl
1.0
4.166 -1.658 0.000
4.166 1.658 0.000
-0.422 0.000 7.111
Mg Al Cl
1 2 1
Direct
0.000 0.000 0.000
0.451 0.451 0.381
0.727 0.727 0.242
0.461 0.461 0.739
```

Output
For the excess energy over the best structure of this formula in the dataset, the calculation gives 5 meV per atom. The value obtained for the density of states at the Fermi level is 1.7 states/eV per cell. For the total moment, the calculation gives 0.00 μB per formula unit. The uncorrected formation energy comes out at -0.307 eV per atom.



## MgAl2Cl (PBE-GGA)

Data for an optimized crystal structure of MgAl2Cl.

Geometry as POSCAR:
```
MgAl2Cl
1.0
5.720 -1.649 0.000
5.720 1.649 0.000
-0.033 0.000 4.312
Mg Al Cl
1 2 1
Direct
0.000 0.000 0.000
0.266 0.266 0.759
0.734 0.734 0.241
0.500 0.500 0.500
```

Output
For the excess energy over the best structure of this formula in the dataset, the calculation gives 110 meV per atom. The value obtained for the density of states at the Fermi level is 1.4 states/eV per cell. For the total moment, the calculation gives 0.00 μB per formula unit. The uncorrected formation energy comes out at -0.202 eV per atom.



## MgAl2Cl (PBE-GGA)

Data for an optimized crystal structure of MgAl2Cl.

Geometry as POSCAR:
```
MgAl2Cl
1.0
-2.281 2.281 4.007
2.281 -2.281 4.007
2.281 2.281 -4.007
Mg Al Cl
1 2 1
Direct
0.000 0.000 0.000
0.250 0.750 0.500
0.500 0.500 0.000
0.750 0.250 0.500
```

Output
For the excess energy over the best structure of this formula in the dataset, the calculation gives 389 meV per atom. The value obtained for the density of states at the Fermi level is 3.2 states/eV per cell. For the total moment, the calculation gives 0.00 μB per formula unit. The uncorrected formation energy comes out at 0.078 eV per atom.



## MgAl2Cl (PBE-GGA)

Data for an optimized crystal structure of MgAl2Cl.

Geometry as POSCAR:
```
MgAl2Cl
1.0
3.687 -3.720 0.000
3.687 3.720 0.000
0.000 0.000 3.014
Mg Al Cl
1 2 1
Direct
0.000 0.000 0.000
0.000 0.500 0.500
0.500 0.000 0.500
0.500 0.500 0.000
```

Output
For the excess energy over the best structure of this formula in the dataset, the calculation gives 296 meV per atom. The value obtained for the density of states at the Fermi level is 1.8 states/eV per cell. For the total moment, the calculation gives 0.00 μB per formula unit. The uncorrected formation energy comes out at -0.016 eV per atom.